AlV3Se2ClO8: relaxed, GGA+U.

raw total energy = -6.356 eV/atom
SG = P-1, No. 2

Geometry as POSCAR:
```
AlV3Se2ClO8
1.0
-5.402 3.623 -0.834
-3.784 -6.457 -3.048
-0.874 -3.688 9.331
Al V Se Cl O
2 6 4 2 16
Direct
0.252 0.863 0.747
0.748 0.137 0.253
0.500 0.000 0.000
0.500 0.000 0.500
0.000 0.000 0.000
0.783 0.776 0.250
0.217 0.224 0.750
0.000 0.000 0.500
0.688 0.634 0.919
0.312 0.366 0.081
0.804 0.632 0.575
0.196 0.368 0.425
0.182 0.848 0.334
0.818 0.152 0.666
0.205 0.004 0.879
0.320 0.390 0.914
0.794 0.604 0.406
0.475 0.784 0.872
0.392 0.238 0.414
0.967 0.224 0.376
0.795 0.996 0.121
0.902 0.757 0.926
0.033 0.776 0.624
0.098 0.243 0.074
0.302 0.022 0.639
0.698 0.978 0.361
0.525 0.216 0.128
0.608 0.762 0.586
0.680 0.610 0.086
0.206 0.396 0.594
```